Record 1
Density functional theory data (PBE) for crystalline HoTmTh2 at its relaxed geometry.

Cell and atoms, written as CIF:
```
data_HoTmTh2
_chemical_formula_sum 'Ho1 Tm1 Th2'
_cell_length_a 3.562
_cell_length_b 7.896
_cell_length_c 7.043
_cell_angle_alpha 131.87
_cell_angle_beta 120.43
_cell_angle_gamma 63.17
_symmetry_space_group_name_H-M 'P 1'
_symmetry_Int_Tables_number 1
_symmetry_space_group_name_Hall 'P 1'
loop_
_atom_site_label
_atom_site_fract_x
_atom_site_fract_y
_atom_site_fract_z
_atom_site_occupancy
Th1 0.253 0.753 0.499 1
Th2 0.752 0.252 0.998 1
Ho1 0.253 0.752 0.999 1
Tm1 0.752 0.252 0.498 1
```

## Properties
Energy of formation = 0.034 eV per atom
Distance to the lowest polymorph of the same formula = 3 meV/atom
Electronic total energy = -23.75 eV per formula unit

---

Record 2
Density functional theory data (PBE) for crystalline Ho7TmTh2 at its relaxed geometry.

Cell and atoms, written as CIF:
```
data_Ho7TmTh2
_chemical_formula_sum 'Ho7 Tm1 Th2'
_cell_length_a 3.554
_cell_length_b 11.672
_cell_length_c 10.599
_cell_angle_alpha 123.53
_cell_angle_beta 59.82
_cell_angle_gamma 98.77
_symmetry_space_group_name_H-M 'P 1'
_symmetry_Int_Tables_number 1
_symmetry_space_group_name_Hall 'P 1'
loop_
_atom_site_label
_atom_site_fract_x
_atom_site_fract_y
_atom_site_fract_z
_atom_site_occupancy
Th1 0.500 0.100 0.700 1
Th2 0.500 0.900 0.300 1
Ho1 0.500 0.299 0.100 1
Ho2 0.500 0.701 0.900 1
Ho3 0.998 0.196 0.400 1
Ho4 0.002 0.395 0.798 1
Ho5 0.998 0.605 0.202 1
Ho6 0.002 0.804 0.600 1
Ho7 0.500 0.500 0.500 1
Tm1 0.000 0.000 0.000 1
```

## Properties
Energy of formation = 0.024 eV per atom
Distance to the lowest polymorph of the same formula = 0 meV/atom
Electronic total energy = -51.12 eV per formula unit

---

- Among the records above, which one has the lowest energy of formation?
  Ho7TmTh2